one.
! CoSbW (SCAN, single point on PBEsol structure); values from VASP
&SYSTEM
  ibrav = 0, nat = 3, ntyp = 3
/
ATOMIC_SPECIES
Co 58.93 Co.upf
Sb 121.76 Sb.upf
W 183.84 W.upf
CELL_PARAMETERS angstrom
0.000 2.924 2.924
2.924 0.000 2.924
2.924 2.924 0.000
ATOMIC_POSITIONS angstrom
Co 0.000 0.000 0.000
Sb 4.386 4.386 4.386
W 1.462 1.462 1.462
! volume: 50.0 Å³ per cell
! ρ: 12.11 Mg/m³

---

two.
! CoSbW (SCAN, single point on PBEsol structure); values from VASP
&SYSTEM
  ibrav = 0, nat = 3, ntyp = 3
/
ATOMIC_SPECIES
Co 58.93 Co.upf
Sb 121.76 Sb.upf
W 183.84 W.upf
CELL_PARAMETERS angstrom
0.000 3.026 3.026
3.026 0.000 3.026
3.026 3.026 0.000
ATOMIC_POSITIONS angstrom
Co 0.000 0.000 0.000
Sb 3.026 3.026 3.026
W 1.513 1.513 1.513
! volume: 55.4 Å³ per cell
! ρ: 10.93 Mg/m³

---

Which structure is the most stable? The one labeled one.

---

one.
! Sr2ScCo (SCAN, single point on PBEsol structure); values from VASP
&SYSTEM
  ibrav = 0, nat = 4, ntyp = 3
/
ATOMIC_SPECIES
Sr 87.62 Sr.upf
Sc 44.96 Sc.upf
Co 58.93 Co.upf
CELL_PARAMETERS angstrom
-1.790 2.944 5.482
1.790 -2.944 5.482
1.790 2.944 -5.482
ATOMIC_POSITIONS angstrom
Sr 0.000 0.000 0.000
Sr 0.000 2.944 1.986
Sc 1.790 0.000 3.561
Co 0.000 0.000 5.085
! volume: 115.6 Å³ per cell
! ρ: 4.01 Mg/m³

---

two.
! Sr2ScCo (SCAN, single point on PBEsol structure); values from VASP
&SYSTEM
  ibrav = 0, nat = 4, ntyp = 3
/
ATOMIC_SPECIES
Sr 87.62 Sr.upf
Sc 44.96 Sc.upf
Co 58.93 Co.upf
CELL_PARAMETERS angstrom
-2.260 2.260 5.198
2.260 -2.260 5.198
2.260 2.260 -5.198
ATOMIC_POSITIONS angstrom
Sr 2.260 0.000 2.599
Sr 0.000 2.260 2.599
Sc 0.000 0.000 0.000
Co 0.000 0.000 5.198
! volume: 106.2 Å³ per cell
! ρ: 4.37 Mg/m³

---

Which structure is the most stable? The one labeled one.